Here is a geometry-optimized TaAl2Co structure from OQMD. Energies are from PBE-GGA.

Cell: 4.3506 4.3506 4.3506 Å, 60.00 60.00 60.00°
Closest atoms and distances in Å follow each position.
Fractional positions:
Al 0.0000 0.0000 0.0000  4 Al 2.66, 4 Co 2.66
Al 0.7500 0.7500 0.7500  4 Al 2.66, 4 Ta 2.66
Co 0.2500 0.2500 0.2500  4 Al 2.66, 4 Ta 2.66
Ta 0.5000 0.5000 0.5000  4 Al 2.66, 4 Co 2.66

Values from the calculation:
Mass density ... 8.4 g/cm3
Volume ... 58.2 Å³/cell
DFT total energy ... -26.8 eV per cell